{"formula": "SrNb2Pd", "functional": "PBE", "state": "optimized geometry", "spacegroup": "Fm-3m", "total_energy_ry_per_atom": -0.4390, "cell": [[6.8056, 0.0000, 0.0000], [0.0000, 6.8056, 0.0000], [0.0000, 0.0000, 6.8056]], "species": ["Sr", "Sr", "Sr", "Sr", "Nb", "Nb", "Nb", "Nb", "Nb", "Nb", "Nb", "Nb", "Pd", "Pd", "Pd", "Pd"], "fractional_positions": [[0.0000, 0.0000, 0.0000], [0.0000, 0.5000, 0.5000], [0.5000, 0.0000, 0.5000], [0.5000, 0.5000, 0.0000], [0.2500, 0.2500, 0.2500], [0.2500, 0.2500, 0.7500], [0.2500, 0.7500, 0.2500], [0.2500, 0.7500, 0.7500], [0.7500, 0.2500, 0.2500], [0.7500, 0.2500, 0.7500], [0.7500, 0.7500, 0.2500], [0.7500, 0.7500, 0.7500], [0.0000, 0.0000, 0.5000], [0.0000, 0.5000, 0.0000], [0.5000, 0.0000, 0.0000], [0.5000, 0.5000, 0.5000]]}